Entry 1:
The following is a DFT calculation (GGA-PBE) of Y2InTc after structural relaxation.

Lattice parameters (Å, degrees): 9.992 9.992 9.992 19.85 19.85 19.85
Positions (direct):
1 Y 0.018 0.018 0.018
2 Y 0.242 0.242 0.242
3 In 0.487 0.487 0.487
4 Tc 0.754 0.754 0.754

Its energy relative to the elements is 0.211 eV/atom. As for the density of states at the Fermi level: 4.265 states/eV/cell.

Entry 2:
The following is a DFT calculation (GGA-PBE) of Y4InTc after structural relaxation.

Lattice parameters (Å, degrees): 6.089 6.089 6.089 60.00 60.00 60.00
Each line ends with the local moment (μB).
Positions (direct):
1 Y 0.374 0.374 0.374  0.02
2 Y 0.374 0.374 0.878  0.02
3 Y 0.878 0.374 0.374  0.02
4 Y 0.374 0.878 0.374  0.02
5 Tc 0.000 0.000 0.000  1.42
6 In 0.750 0.750 0.750  -0.01

Its energy relative to the elements is 0.645 eV/atom. As for the density of states at the Fermi level: 4.651 states/eV/cell. Its distance to the lowest polymorph of the same formula is 5.32 eV/f.u.

Entry 3:
The following is a DFT calculation (GGA-PBE) of YInTc after structural relaxation.

Lattice parameters (Å, degrees): 4.836 4.836 3.160 90.00 90.00 120.00
Positions (direct):
1 In 0.000 0.000 0.084
2 Y 0.333 0.667 0.620
3 Tc 0.667 0.333 0.297

Its energy relative to the elements is 0.136 eV/atom. As for the density of states at the Fermi level: 4.517 states/eV/cell. Its distance to the lowest polymorph of the same formula is 0.90 eV/f.u.

Entry 4:
The following is a DFT calculation (GGA-PBE) of YInTc after structural relaxation.

Lattice parameters (Å, degrees): 5.643 5.643 3.564 71.59 71.59 36.81
Positions (direct):
1 In 0.022 0.022 0.978
2 Tc 0.657 0.657 0.343
3 Y 0.321 0.321 0.679

Its energy relative to the elements is -0.028 eV/atom. As for the density of states at the Fermi level: 3.865 states/eV/cell. Its distance to the lowest polymorph of the same formula is 0.40 eV/f.u.

Entry 5:
The following is a DFT calculation (GGA-PBE) of Y8InTc2 after structural relaxation.

Lattice parameters (Å, degrees): 5.377 6.946 9.078 112.49 107.21 90.05
Positions (direct):
1 Y 0.926 0.443 0.490
2 Y 0.306 0.354 0.249
3 Y 0.967 0.014 0.569
4 Y 0.346 0.862 0.328
5 Y 0.637 0.268 0.909
6 Y 0.138 0.536 0.909
7 Y 0.746 0.929 0.127
8 Y 0.527 0.711 0.691
9 Tc 0.800 0.620 0.238
10 Tc 0.471 0.290 0.580
11 In 0.137 0.972 0.909

Its energy relative to the elements is -0.105 eV/atom. As for the density of states at the Fermi level: 7.222 states/eV/cell.

Entry 6:
The following is a DFT calculation (GGA-PBE) of YIn2Tc after structural relaxation.

Lattice parameters (Å, degrees): 4.246 4.318 4.665 90.00 90.00 90.00
Each line ends with the local moment (μB).
Positions (direct):
1 Y 0.000 0.500 0.500  -0.04
2 In 0.500 0.500 0.000  -0.01
3 In 0.000 0.000 0.000  -0.01
4 Tc 0.500 0.000 0.500  0.63

Its energy relative to the elements is 0.006 eV/atom. As for the density of states at the Fermi level: 3.249 states/eV/cell. Its distance to the lowest polymorph of the same formula is 0.31 eV/f.u.

Entry 7:
The following is a DFT calculation (GGA-PBE) of ZnIn2Tc after structural relaxation.

Lattice parameters (Å, degrees): 4.769 3.055 5.041 90.00 90.00 90.00
Each line ends with the local moment (μB).
Positions (direct):
1 In 0.500 0.125 0.313  -0.01
2 In 0.000 0.125 0.943  -0.02
3 Zn 0.500 0.625 0.782  0.00
4 Tc 0.000 0.625 0.462  0.82

Its energy relative to the elements is 0.239 eV/atom. As for the density of states at the Fermi level: 3.233 states/eV/cell.

Entry 8:
The following is a DFT calculation (GGA-PBE) of ZnInTc after structural relaxation.

Lattice parameters (Å, degrees): 6.479 6.479 2.924 76.97 76.95 26.08
Each line ends with the local moment (μB).
Positions (direct):
1 In 0.991 0.991 0.009  0.00
2 Zn 0.685 0.685 0.315  0.00
3 Tc 0.325 0.325 0.675  0.61

Its energy relative to the elements is 0.359 eV/atom. As for the density of states at the Fermi level: 3.076 states/eV/cell. Its distance to the lowest polymorph of the same formula is 0.59 eV/f.u.